Record 1
VASP calculation (GGA-PBE) on a geometry-optimized BaAgHgPd3 structure.

```
BaAgHgPd3
1.0
3.236 -6.620 0.000
3.236 6.620 0.000
0.000 0.000 6.362
Ba Ag Hg Pd
2 2 2 6
direct
0.188 0.812 0.750
0.812 0.188 0.250
0.417 0.583 0.750
0.583 0.417 0.250
0.153 0.847 0.250
0.847 0.153 0.750
0.211 0.211 0.000
0.211 0.211 0.500
0.367 0.633 0.250
0.633 0.367 0.750
0.789 0.789 0.000
0.789 0.789 0.500
```

Magnetization, μB per formula unit: 0.00
Energy of formation from the pure elements, eV/atom: -0.1757
Crystal system: orthorhombic



Record 2
VASP calculation (GGA-PBE) on a geometry-optimized BPd structure.

```
BPd
1.0
3.597 0.000 0.000
0.000 9.964 0.000
0.000 0.000 5.020
B Pd
6 6
direct
0.250 0.105 0.155
0.250 0.395 0.155
0.250 0.750 0.358
0.750 0.250 0.642
0.750 0.605 0.845
0.750 0.895 0.845
0.250 0.250 0.439
0.250 0.603 0.062
0.250 0.897 0.062
0.750 0.103 0.938
0.750 0.397 0.938
0.750 0.750 0.561
```

Magnetization, μB per formula unit: 0.00
Energy of formation from the pure elements, eV/atom: 0.4339
Crystal system: orthorhombic



Record 3
VASP calculation (GGA-PBE) on a geometry-optimized Pm4SiPt3 structure.

```
Pm4SiPt3
1.0
4.051 0.000 0.000
0.000 4.338 0.000
0.000 0.000 10.948
Pm Si Pt
4 1 3
direct
0.000 0.000 0.000
0.000 0.500 0.278
0.500 0.000 0.497
0.500 0.500 0.777
0.000 0.000 0.711
0.000 0.500 0.562
0.500 0.000 0.225
0.500 0.500 0.049
```

Magnetization, μB per formula unit: 0.00
Raw formation energy, eV/atom: -1.053
Crystal system: orthorhombic



Record 4
VASP calculation (GGA-PBE) on a geometry-optimized Dy5Tm12Th2 structure.

```
Dy5Tm12Th2
1.0
6.010 -5.842 0.000
6.010 5.842 0.000
-2.443 0.000 8.576
Dy Tm Th
5 12 2
direct
0.000 0.000 0.000
0.265 0.265 0.398
0.271 0.271 0.998
0.729 0.729 0.002
0.735 0.735 0.602
0.071 0.517 0.705
0.087 0.087 0.667
0.154 0.663 0.112
0.337 0.846 0.888
0.467 0.467 0.772
0.483 0.929 0.295
0.517 0.071 0.705
0.533 0.533 0.228
0.663 0.154 0.112
0.846 0.337 0.888
0.913 0.913 0.333
0.929 0.483 0.295
0.290 0.710 0.500
0.710 0.290 0.500
```

Magnetization, μB per formula unit: 0.00
Energy of formation from the pure elements, eV/atom: 0.1745
Crystal system: monoclinic
Energy above the most stable polymorph in this dataset, eV/atom: 0.148